(1)
The following is a DFT calculation (PBE) of crystalline Tb4Pr3Er5 at its relaxed geometry.

Its energy is -4.620 eV per atom. As for the volume: 387 Å³/f.u. As for the total moment: 0.0 μB per formula unit.

Unit cell a=6.187 b=7.148 c=8.759 alpha=89.94 beta=89.83 gamma=89.83
Space group P-1 (No. 2)
One atom of each set of equivalent atoms:
1 Tb 0.167 0.000 0.331 x2
2 Tb 0.331 0.751 0.667 x2
3 Pr 0.333 0.249 0.666 x2
4 Pr 0.500 0.500 0.000 x1
5 Er 0.001 0.751 0.000 x2
6 Er 0.164 0.500 0.332 x2
7 Er 0.500 0.000 0.000 x1

(2)
The following is a DFT calculation (PBE) of crystalline Dy8Mg2Ru at its relaxed geometry.

Its energy is -4.558 eV per atom. As for the volume: 313 Å³/f.u. As for the total moment: 0.0 μB per formula unit.

Unit cell a=17.378 b=5.507 c=7.007 alpha=90.00 beta=111.23 gamma=90.00
Space group C2/m (No. 12)
One atom of each set of equivalent atoms:
1 Dy 0.014 0.000 0.277 x4
2 Dy 0.102 0.500 0.902 x4
3 Dy 0.142 0.500 0.421 x4
4 Dy 0.191 0.000 0.746 x4
5 Mg 0.186 0.000 0.193 x4
6 Ru 0.000 0.500 0.500 x2

(3)
The following is a DFT calculation (PBE) of crystalline Ba7Sr2Ca2 at its relaxed geometry.

Its energy is -1.794 eV per atom. As for the volume: 653 Å³/f.u. As for the total moment: 0.0 μB per formula unit.

Unit cell a=13.341 b=14.273 c=7.387 alpha=90.00 beta=111.84 gamma=90.00
Space group C2/m (No. 12)
One atom of each set of equivalent atoms:
1 Ba 0.000 0.000 0.000 x2
2 Ba 0.099 0.500 0.794 x4
3 Ba 0.170 0.245 0.178 x8
4 Sr 0.196 0.000 0.592 x4
5 Ca 0.000 0.229 0.500 x4

(4)
The following is a DFT calculation (PBE) of crystalline LaMgAl2Ag2 at its relaxed geometry.

Its energy is -3.591 eV per atom. As for the volume: 131 Å³/f.u. As for the total moment: 0.0 μB per formula unit.

Unit cell a=4.5251 b=4.5251 c=7.3849 alpha=90.00 beta=90.00 gamma=120.00
Space group P-3m1 (No. 164)
One atom of each set of equivalent atoms:
1 La 0.0000 0.0000 0.0000 x1
2 Mg 0.0000 0.0000 0.5000 x1
3 Al 0.3333 0.6667 0.7158 x2
4 Ag 0.3333 0.6667 0.3153 x2

(5)
The following is a DFT calculation (PBE) of crystalline ScH6Ir2Pb at its relaxed geometry.

Its energy is -4.909 eV per atom. As for the volume: 102 Å³/f.u. As for the total moment: 0.0 μB per formula unit.

Unit cell a=7.662 b=9.103 c=6.232 alpha=90.00 beta=109.81 gamma=90.00
Space group C2/c (No. 15)
One atom of each set of equivalent atoms:
1 Sc 0.000 0.105 0.250 x4
2 H 0.068 0.096 0.606 x8
3 H 0.169 0.251 0.124 x8
4 H 0.220 0.493 0.576 x8
5 Ir 0.203 0.373 0.333 x8
6 Pb 0.000 0.348 0.750 x4

(6)
The following is a DFT calculation (PBE) of crystalline Ba12HgAu6 at its relaxed geometry.

Its energy is -2.754 eV per atom. As for the volume: 817 Å³/f.u. As for the total moment: 1.5 μB per formula unit.

Unit cell a=11.777 b=11.777 c=11.777 alpha=90.00 beta=90.00 gamma=90.00
Space group Im-3 (No. 204)
One atom of each set of equivalent atoms:
1 Ba 0.000 0.179 0.307 x24
2 Hg 0.000 0.000 0.000 x2
3 Au 0.000 0.375 0.500 x12

(7)
The following is a DFT calculation (PBE) of crystalline RbBaAs at its relaxed geometry.

Its energy is -2.813 eV per atom. As for the volume: 169 Å³/f.u. As for the total moment: 0.0 μB per formula unit.

Unit cell a=4.676 b=5.232 c=13.774 alpha=90.00 beta=90.00 gamma=90.00
Space group Pmmm (No. 47)
One atom of each set of equivalent atoms:
1 Rb 0.000 0.000 0.000 x1
2 Rb 0.500 0.000 0.500 x1
3 Ba 0.000 0.500 0.238 x2
4 As 0.500 0.500 0.089 x2

(8)
The following is a DFT calculation (PBE) of crystalline BaMoCl at its relaxed geometry.

The formation energy without anion corrections is -0.361 eV per atom. As for the volume: 104 Å³/f.u. As for the total moment: 0.0 μB per formula unit.

Unit cell a=17.041 b=5.039 c=4.833 alpha=90.00 beta=90.87 gamma=90.00
Space group C2/m (No. 12)
One atom of each set of equivalent atoms:
1 Ba 0.138 0.000 0.243 x4
2 Mo 0.022 0.500 0.697 x4
3 Cl 0.249 0.500 0.250 x4

(9)
The following is a DFT calculation (PBE) of crystalline CdAu at its relaxed geometry.

Its energy is -2.220 eV per atom. As for the volume: 45 Å³/f.u. As for the total moment: 0.0 μB per formula unit.

Unit cell a=4.5809 b=4.5809 c=14.7340 alpha=90.00 beta=90.00 gamma=120.00
Space group R-3m (No. 166, hexagonal axes)
One atom of each set of equivalent atoms:
1 Cd 0.0000 0.0000 0.1061 x6
2 Au 0.0000 0.0000 0.2993 x6

(10)
The following is a DFT calculation (PBE) of crystalline Sr5Hg3Cl12 at its relaxed geometry.

The formation energy without anion corrections is -1.721 eV per atom. As for the volume: 733 Å³/f.u. As for the total moment: 1.7 μB per formula unit.

Unit cell a=18.030 b=18.030 c=18.030 alpha=90.00 beta=90.00 gamma=90.00
Space group Ia-3d (No. 230)
One atom of each set of equivalent atoms:
1 Sr 0.000 0.000 0.000 x16
2 Sr 0.000 0.250 0.375 x24
3 Hg 0.000 0.250 0.125 x24
4 Cl 0.032 0.063 0.645 x96

(11)
The following is a DFT calculation (PBE) of crystalline LiPmPrBi at its relaxed geometry.

Its energy is -4.220 eV per atom. As for the volume: 115 Å³/f.u. As for the total moment: 0.0 μB per formula unit.

Unit cell a=7.714 b=7.714 c=7.714 alpha=90.00 beta=90.00 gamma=90.00
Space group F-43m (No. 216)
One atom of each set of equivalent atoms:
1 Li 0.000 0.000 0.000 x4
2 Pm 0.250 0.250 0.750 x4
3 Pr 0.250 0.250 0.250 x4
4 Bi 0.000 0.000 0.500 x4

(12)
The following is a DFT calculation (PBE) of crystalline Mg2TiTl2 at its relaxed geometry.

Its energy is -2.950 eV per atom. As for the volume: 115 Å³/f.u. As for the total moment: 1.3 μB per formula unit.

Unit cell a=8.083 b=8.083 c=3.521 alpha=90.00 beta=90.00 gamma=90.00
Space group P4/mbm (No. 127)
One atom of each set of equivalent atoms:
1 Mg 0.149 0.351 0.000 x4
2 Ti 0.000 0.000 0.500 x2
3 Tl 0.153 0.653 0.500 x4

(13)
The following is a DFT calculation (PBE) of crystalline Zr2ReSiRu at its relaxed geometry.

The formation energy without anion corrections is 0.628 eV per atom. As for the volume: 100 Å³/f.u. As for the total moment: 0.0 μB per formula unit.

Unit cell a=4.905 b=4.905 c=4.161 alpha=90.00 beta=90.00 gamma=90.00
Space group P4/mmm (No. 123)
One atom of each set of equivalent atoms:
1 Zr 0.000 0.500 0.000 x2
2 Re 0.000 0.000 0.500 x1
3 Si 0.500 0.500 0.000 x1
4 Ru 0.500 0.500 0.500 x1

(14)
The following is a DFT calculation (PBE) of crystalline La2MgAu6 at its relaxed geometry.

Its energy is -4.127 eV per atom. As for the volume: 204 Å³/f.u. As for the total moment: 0.0 μB per formula unit.

Unit cell a=6.4903 b=6.4903 c=5.6031 alpha=90.00 beta=90.00 gamma=120.00
Space group P-3m1 (No. 164)
One atom of each set of equivalent atoms:
1 La 0.3333 0.6667 0.3271 x2
2 Mg 0.0000 0.0000 0.5000 x1
3 Au 0.1820 0.3640 0.8133 x6

(15)
The following is a DFT calculation (PBE) of crystalline FeOsW2 at its relaxed geometry.

Its energy is -11.233 eV per atom. As for the volume: 59 Å³/f.u. As for the total moment: 2.5 μB per formula unit.

Unit cell a=3.147 b=4.312 c=8.650 alpha=90.00 beta=90.00 gamma=90.00
Space group Immm (No. 71)
One atom of each set of equivalent atoms:
1 Fe 0.000 0.000 0.000 x2
2 Os 0.000 0.000 0.500 x2
3 W 0.000 0.500 0.256 x4

(16)
The following is a DFT calculation (PBE) of crystalline YHo2Au at its relaxed geometry.

Its energy is -4.785 eV per atom. As for the volume: 124 Å³/f.u. As for the total moment: 0.7 μB per formula unit.

Unit cell a=3.6391 b=3.6391 c=32.4372 alpha=90.00 beta=90.00 gamma=120.00
Space group R-3m (No. 166, hexagonal axes)
One atom of each set of equivalent atoms:
1 Y 0.0000 0.0000 0.0000 x3
2 Ho 0.0000 0.0000 0.1045 x6
3 Au 0.0000 0.0000 0.5000 x3

(17)
The following is a DFT calculation (PBE) of crystalline ZnPtO2F at its relaxed geometry.

The formation energy without anion corrections is -0.052 eV per atom. As for the volume: 59 Å³/f.u. As for the total moment: 0.0 μB per formula unit.

Unit cell a=3.984 b=3.984 c=3.731 alpha=90.00 beta=90.00 gamma=90.00
Space group P4/mmm (No. 123)
One atom of each set of equivalent atoms:
1 Zn 0.000 0.000 0.000 x1
2 Pt 0.500 0.500 0.500 x1
3 O 0.000 0.500 0.000 x2
4 F 0.000 0.000 0.500 x1

(18)
The following is a DFT calculation (PBE) of crystalline HfZnSb3 at its relaxed geometry.

The formation energy without anion corrections is 0.706 eV per atom. As for the volume: 135 Å³/f.u. As for the total moment: 0.0 μB per formula unit.

Unit cell a=5.126 b=5.126 c=5.126 alpha=90.00 beta=90.00 gamma=90.00
Space group Pm-3m (No. 221)
One atom of each set of equivalent atoms:
1 Hf 0.000 0.000 0.000 x1
2 Zn 0.500 0.500 0.500 x1
3 Sb 0.000 0.500 0.500 x3

(19)
The following is a DFT calculation (PBE) of crystalline RbAlTc2O8 at its relaxed geometry.

The formation energy without anion corrections is -1.744 eV per atom. As for the volume: 211 Å³/f.u. As for the total moment: 2.0 μB per formula unit.

Unit cell a=9.115 b=5.618 c=8.265 alpha=90.00 beta=93.82 gamma=90.00
Space group C2/m (No. 12)
One atom of each set of equivalent atoms:
1 Rb 0.000 0.000 0.000 x2
2 Al 0.000 0.000 0.500 x2
3 Tc 0.136 0.500 0.301 x4
4 O 0.030 0.236 0.338 x8
5 O 0.182 0.500 0.099 x4
6 O 0.202 0.000 0.564 x4

(20)
The following is a DFT calculation (PBE) of crystalline MgTi2P at its relaxed geometry.

Its energy is -5.882 eV per atom. As for the volume: 70 Å³/f.u. As for the total moment: 0.0 μB per formula unit.

Unit cell a=7.203 b=7.203 c=5.405 alpha=90.00 beta=90.00 gamma=90.00
Space group I-42d (No. 122)
One atom of each set of equivalent atoms:
1 Mg 0.000 0.000 0.000 x4
2 Ti 0.207 0.250 0.625 x8
3 P 0.000 0.000 0.500 x4